Record 1
# Co2Pt5Rh2 | Alexandria | PBE | optimized geometry
# Total magnetic moment in Bohr magnetons per cell: 12.444
# ΔH_f (0 K) in eV/atom: 0.016
data_Co2Pt5Rh2
_cell_length_a 8.596
_cell_length_b 3.960
_cell_length_c 7.874
_cell_angle_alpha 90.00
_cell_angle_beta 97.28
_cell_angle_gamma 90.00
_space_group_name_H-M_alt 'C 1 2/m 1'
_space_group_IT_number 12
loop_
_space_group_symop_operation_xyz
'x,y,z'
'-x,-y,-z'
'-x,y,-z'
'x,-y,z'
'x+1/2,y+1/2,z'
'-x+1/2,-y+1/2,-z'
'-x+1/2,y+1/2,-z'
'x+1/2,-y+1/2,z'
loop_
_atom_site_label
_atom_site_fract_x
_atom_site_fract_y
_atom_site_fract_z
Co1 0.241 0.000 0.078
Pt1 0.000 0.500 0.500
Pt2 0.060 0.500 0.161
Pt3 0.127 0.000 0.738
Rh1 0.187 0.000 0.391

***

Record 2
# In2FeAs | Alexandria | PBE | optimized geometry
# Total magnetic moment in Bohr magnetons per cell: 5.203
# ΔH_f (0 K) in eV/atom: 0.110
data_In2FeAs
_cell_length_a 3.3092
_cell_length_b 3.3092
_cell_length_c 25.9793
_cell_angle_alpha 90.00
_cell_angle_beta 90.00
_cell_angle_gamma 120.00
_space_group_name_H-M_alt 'R 3 m'
_space_group_IT_number 160
_space_group_name_Hall 'R 3 -2"'
loop_
_atom_site_label
_atom_site_fract_x
_atom_site_fract_y
_atom_site_fract_z
In1 0.0000 0.0000 0.0000
In2 0.0000 0.0000 0.2302
Fe1 0.0000 0.0000 0.7436
As1 0.0000 0.0000 0.4645

***

Record 3
# AlZn3B | Alexandria | PBE | optimized geometry
# Total magnetic moment in Bohr magnetons per cell: 0.000
# ΔH_f (0 K) in eV/atom: 0.436
# Polymorph energy (0 for the lowest one) in meV per atom: 0
data_AlZn3B
_cell_length_a 4.254
_cell_length_b 4.254
_cell_length_c 4.254
_cell_angle_alpha 90.00
_cell_angle_beta 90.00
_cell_angle_gamma 90.00
_space_group_name_H-M_alt 'P m -3 m'
_space_group_IT_number 221
_space_group_name_Hall '-P 4 2 3'
loop_
_atom_site_label
_atom_site_fract_x
_atom_site_fract_y
_atom_site_fract_z
Al1 0.000 0.000 0.000
Zn1 0.000 0.500 0.500
B1 0.500 0.500 0.500

***

Record 4
# Ac6NiIr2Cl2 | Alexandria | PBE | optimized geometry
# Total magnetic moment in Bohr magnetons per cell: 0.000
# Raw formation energy in eV/atom: -0.969
data_Ac6NiIr2Cl2
_cell_length_a 7.568
_cell_length_b 13.062
_cell_length_c 8.040
_cell_angle_alpha 90.00
_cell_angle_beta 108.17
_cell_angle_gamma 90.00
_space_group_name_H-M_alt 'C 1 2/m 1'
_space_group_IT_number 12
loop_
_space_group_symop_operation_xyz
'x,y,z'
'-x,-y,-z'
'-x,y,-z'
'x,-y,z'
'x+1/2,y+1/2,z'
'-x+1/2,-y+1/2,-z'
'-x+1/2,y+1/2,-z'
'x+1/2,-y+1/2,z'
loop_
_atom_site_label
_atom_site_fract_x
_atom_site_fract_y
_atom_site_fract_z
Ac1 0.231 0.000 0.208
Ac2 0.238 0.335 0.209
Ni1 0.000 0.500 0.000
Ir1 0.000 0.169 0.000
Cl1 0.000 0.333 0.500

***

Record 5
# PmPrS2O8 | Alexandria | PBE | optimized geometry
# Total magnetic moment in Bohr magnetons per cell: 0.000
# Raw formation energy in eV/atom: -1.855
data_PmPrS2O8
_cell_length_a 5.7866
_cell_length_b 5.7866
_cell_length_c 6.5384
_cell_angle_alpha 90.00
_cell_angle_beta 90.00
_cell_angle_gamma 120.00
_space_group_name_H-M_alt 'P -3 m 1'
_space_group_IT_number 164
_space_group_name_Hall '-P 3 2"'
loop_
_atom_site_label
_atom_site_fract_x
_atom_site_fract_y
_atom_site_fract_z
Pm1 0.0000 0.0000 0.0000
Pr1 0.0000 0.0000 0.5000
S1 0.3333 0.6667 0.6914
O1 0.1916 0.3832 0.7693
O2 0.3333 0.6667 0.4679

***

Record 6
# Sc2InN | Alexandria | PBE | optimized geometry
# Total magnetic moment in Bohr magnetons per cell: 0.000
# Raw formation energy in eV/atom: -1.175
data_Sc2InN
_cell_length_a 3.2800
_cell_length_b 3.2800
_cell_length_c 22.4129
_cell_angle_alpha 90.00
_cell_angle_beta 90.00
_cell_angle_gamma 120.00
_space_group_name_H-M_alt 'R -3 m'
_space_group_IT_number 166
_space_group_name_Hall '-R 3 2"'
loop_
_atom_site_label
_atom_site_fract_x
_atom_site_fract_y
_atom_site_fract_z
Sc1 0.0000 0.0000 0.2203
In1 0.0000 0.0000 0.0000
N1 0.0000 0.0000 0.5000

***

Record 7
# CaY2Co | Alexandria | PBE | optimized geometry
# Total magnetic moment in Bohr magnetons per cell: 0.747
# ΔH_f (0 K) in eV/atom: 0.089
# Polymorph energy (0 for the lowest one) in meV per atom: 184
data_CaY2Co
_cell_length_a 3.463
_cell_length_b 3.463
_cell_length_c 8.973
_cell_angle_alpha 90.00
_cell_angle_beta 90.00
_cell_angle_gamma 90.00
_space_group_name_H-M_alt 'P 4 m m'
_space_group_IT_number 99
loop_
_space_group_symop_operation_xyz
'x,y,z'
'-y,x,z'
'-x,-y,z'
'y,-x,z'
'-x,y,z'
'y,x,z'
'x,-y,z'
'-y,-x,z'
loop_
_atom_site_label
_atom_site_fract_x
_atom_site_fract_y
_atom_site_fract_z
Ca1 0.000 0.000 0.000
Y1 0.000 0.000 0.364
Y2 0.500 0.500 0.668
Co1 0.500 0.500 0.207

***

Record 8
# PuBeP | Alexandria | PBE | optimized geometry
# Total magnetic moment in Bohr magnetons per cell: 10.584
# ΔH_f (0 K) in eV/atom: -0.765
# Polymorph energy (0 for the lowest one) in meV per atom: 0
data_PuBeP
_cell_length_a 3.6978
_cell_length_b 3.6978
_cell_length_c 8.1489
_cell_angle_alpha 90.00
_cell_angle_beta 90.00
_cell_angle_gamma 120.00
_space_group_name_H-M_alt 'P 63/m m c'
_space_group_IT_number 194
_space_group_name_Hall '-P 6c 2c'
loop_
_atom_site_label
_atom_site_fract_x
_atom_site_fract_y
_atom_site_fract_z
Pu1 0.0000 0.0000 0.0000
Be1 0.3333 0.6667 0.2500
P1 0.3333 0.6667 0.7500

***

Record 9
# HfSn3Pd12 | Alexandria | PBE | optimized geometry
# Total magnetic moment in Bohr magnetons per cell: 0.000
# ΔH_f (0 K) in eV/atom: -0.607
data_HfSn3Pd12
_cell_length_a 4.032
_cell_length_b 4.032
_cell_length_c 16.138
_cell_angle_alpha 90.00
_cell_angle_beta 90.00
_cell_angle_gamma 90.00
_space_group_name_H-M_alt 'P 4/m m m'
_space_group_IT_number 123
_space_group_name_Hall '-P 4 2'
loop_
_atom_site_label
_atom_site_fract_x
_atom_site_fract_y
_atom_site_fract_z
Hf1 0.000 0.000 0.000
Sn1 0.000 0.000 0.250
Sn2 0.000 0.000 0.500
Pd1 0.000 0.500 0.122
Pd2 0.000 0.500 0.374
Pd3 0.500 0.500 0.000
Pd4 0.500 0.500 0.249
Pd5 0.500 0.500 0.500

***

Record 10
# Hf5TcOs4 | Alexandria | PBE | optimized geometry
# Total magnetic moment in Bohr magnetons per cell: 0.000
# ΔH_f (0 K) in eV/atom: -0.680
data_Hf5TcOs4
_cell_length_a 3.250
_cell_length_b 3.250
_cell_length_c 16.316
_cell_angle_alpha 90.00
_cell_angle_beta 90.00
_cell_angle_gamma 90.00
_space_group_name_H-M_alt 'P 4/m m m'
_space_group_IT_number 123
_space_group_name_Hall '-P 4 2'
loop_
_atom_site_label
_atom_site_fract_x
_atom_site_fract_y
_atom_site_fract_z
Hf1 0.000 0.000 0.000
Hf2 0.000 0.000 0.201
Hf3 0.000 0.000 0.402
Tc1 0.500 0.500 0.500
Os1 0.500 0.500 0.099
Os2 0.500 0.500 0.299

***

Record 11
# Tb2AgPd5 | Alexandria | PBE | optimized geometry
# Total magnetic moment in Bohr magnetons per cell: 0.000
# ΔH_f (0 K) in eV/atom: -0.811
data_Tb2AgPd5
_cell_length_a 5.966
_cell_length_b 5.966
_cell_length_c 8.068
_cell_angle_alpha 90.00
_cell_angle_beta 90.00
_cell_angle_gamma 90.00
_space_group_name_H-M_alt 'I 4/m m m'
_space_group_IT_number 139
_space_group_name_Hall '-I 4 2'
loop_
_atom_site_label
_atom_site_fract_x
_atom_site_fract_y
_atom_site_fract_z
Tb1 0.000 0.500 0.000
Ag1 0.000 0.000 0.000
Pd1 0.000 0.000 0.500
Pd2 0.250 0.250 0.250

***

Record 12
# Lu4CuGe8 | Alexandria | PBE | optimized geometry
# Total magnetic moment in Bohr magnetons per cell: 0.000
# ΔH_f (0 K) in eV/atom: -0.533
data_Lu4CuGe8
_cell_length_a 3.925
_cell_length_b 4.017
_cell_length_c 16.216
_cell_angle_alpha 90.00
_cell_angle_beta 90.00
_cell_angle_gamma 90.00
_space_group_name_H-M_alt 'P m m 2'
_space_group_IT_number 25
loop_
_space_group_symop_operation_xyz
'x,y,z'
'-x,-y,z'
'-x,y,z'
'x,-y,z'
loop_
_atom_site_label
_atom_site_fract_x
_atom_site_fract_y
_atom_site_fract_z
Lu1 0.000 0.000 0.000
Lu2 0.000 0.500 0.483
Lu3 0.500 0.000 0.788
Lu4 0.500 0.500 0.281
Cu1 0.000 0.500 0.714
Ge1 0.000 0.000 0.326
Ge2 0.000 0.000 0.624
Ge3 0.000 0.500 0.137
Ge4 0.000 0.500 0.858
Ge5 0.500 0.000 0.144
Ge6 0.500 0.000 0.431
Ge7 0.500 0.500 0.623
Ge8 0.500 0.500 0.959